Below is a geometry-optimized NaLuTl structure, with properties calculated at the PBE-GGA level.

Cell: 3.362 5.260 5.260 Å, 120.00 90.00 90.00°
Fractional coordinates of all 3 atoms:
Lu (0.334, 0.333, 0.667)
Tl (0.817, 0.667, 0.333)
Na (0.848, 0.000, 0.000)

Computed properties:
* E above lowest polymorph: 0.000 eV per atom
* size of the total moment: 0.0000 μB/atom
* mass density: 8.29 g cm⁻³
* SG: P3m1 (156)
* volume: 80.6 Å³/cell



Below is a geometry-optimized BaPrO3 structure, with properties calculated at the PBE-GGA level.

Cell: 6.399 6.500 9.116 Å, 90.00 90.00 90.00°
Last column: magnetic moment on the atom in μB.
Fractional coordinates of all 20 atoms:
Ba (0.486, 0.461, 0.750)  -0.01
Ba (0.986, 0.039, 0.250)  -0.01
Ba (0.014, 0.961, 0.750)  -0.01
Ba (0.514, 0.539, 0.250)  -0.01
Pr (0.500, 0.000, 0.000)  0.01
Pr (0.500, 0.000, 0.500)  0.01
Pr (0.000, 0.500, 0.500)  0.01
Pr (0.000, 0.500, 0.000)  0.01
O (0.598, 0.038, 0.750)  0.29
O (0.288, 0.713, 0.945)  0.28
O (0.098, 0.462, 0.250)  0.29
O (0.402, 0.962, 0.250)  0.29
O (0.902, 0.538, 0.750)  0.29
O (0.712, 0.287, 0.055)  0.28
O (0.788, 0.787, 0.055)  0.28
O (0.712, 0.287, 0.445)  0.28
O (0.212, 0.213, 0.555)  0.28
O (0.788, 0.787, 0.445)  0.28
O (0.212, 0.213, 0.945)  0.28
O (0.288, 0.713, 0.555)  0.28

Computed properties:
* ΔE_f (raw): -2.56 eV/atom
* size of the total moment: 0.2039 μB/atom
* mass density: 5.71 g cm⁻³
* SG: Pnma (62)
* volume: 379.2 Å³/cell



Below is a geometry-optimized AcLuAs2 structure, with properties calculated at the PBE-GGA level.

Cell: 5.235 5.235 5.235 Å, 60.00 60.00 60.00°
Fractional coordinates of all 4 atoms:
As (0.250, 0.250, 0.250)
As (0.750, 0.750, 0.750)
Lu (0.000, 0.000, 0.000)
Ac (0.500, 0.500, 0.500)

Computed properties:
* E above lowest polymorph: 0.000 eV per atom
* size of the total moment: 0.0006 μB/atom
* mass density: 9.03 g cm⁻³
* SG: Fm-3m (225)
* volume: 101.4 Å³/cell



Below is a geometry-optimized CrCdIr2 structure, with properties calculated at the PBE-GGA level.

Cell: 9.155 9.155 9.155 Å, 17.50 17.50 17.50°
Fractional coordinates of all 4 atoms:
Cr (0.750, 0.750, 0.750)
Ir (0.490, 0.490, 0.490)
Ir (0.010, 0.010, 0.010)
Cd (0.250, 0.250, 0.250)

Computed properties:
* electronic total energy: -28.21 eV per cell
* size of the total moment: 0.0000 μB/atom
* mass density: 15.06 g cm⁻³
* SG: R-3m (166)
* volume: 60.5 Å³/cell



Below is a geometry-optimized Na2YSb2 structure, with properties calculated at the PBE-GGA level.

Cell: 8.915 8.915 3.517 Å, 90.00 90.00 90.00°
Fractional coordinates of all 10 atoms:
Y (0.500, 0.500, 0.000)
Y (0.000, 0.000, 0.000)
Sb (0.818, 0.682, 0.000)
Sb (0.182, 0.318, 0.000)
Sb (0.682, 0.182, 0.000)
Sb (0.318, 0.818, 0.000)
Na (0.618, 0.882, 0.500)
Na (0.882, 0.382, 0.500)
Na (0.382, 0.118, 0.500)
Na (0.118, 0.618, 0.500)

Computed properties:
* ΔE_f (raw): -0.39 eV/atom
* E above lowest polymorph: 0.000 eV per atom
* size of the total moment: 0.0000 μB/atom
* mass density: 4.50 g cm⁻³
* SG: P4/mbm (127)
* volume: 279.6 Å³/cell



Below is a geometry-optimized Ca2MnI structure, with properties calculated at the PBE-GGA level.

Cell: 5.564 5.564 5.564 Å, 60.00 60.00 60.00°
Last column: magnetic moment on the atom in μB.
Fractional coordinates of all 4 atoms:
Mn (0.000, 0.000, 0.000)  3.89
I (0.500, 0.500, 0.500)  0.00
Ca (0.750, 0.750, 0.750)  -0.11
Ca (0.250, 0.250, 0.250)  -0.11

Computed properties:
* ΔE_f (raw): 0.10 eV/atom
* E above lowest polymorph: 0.008 eV per atom
* size of the total moment: 0.8356 μB/atom
* mass density: 3.57 g cm⁻³
* SG: Fm-3m (225)
* volume: 121.8 Å³/cell



Below is a geometry-optimized MnTe2Rh structure, with properties calculated at the PBE-GGA level.

Cell: 6.946 6.946 6.946 Å, 33.78 33.78 33.78°
Last column: magnetic moment on the atom in μB.
Fractional coordinates of all 4 atoms:
Te (0.218, 0.218, 0.218)  -0.12
Te (0.033, 0.033, 0.033)  -0.02
Mn (0.484, 0.484, 0.484)  3.23
Rh (0.764, 0.764, 0.764)  -0.02

Computed properties:
* ΔE_f (raw): -0.12 eV/atom
* size of the total moment: 0.8002 μB/atom
* mass density: 7.43 g cm⁻³
* SG: R3m (160)
* volume: 92.3 Å³/cell



Below is a geometry-optimized Er3Tm2Bi2 structure, with properties calculated at the PBE-GGA level.

Cell: 4.305 6.368 8.452 Å, 106.37 90.00 109.75°
Fractional coordinates of all 7 atoms:
Bi (0.821, 0.642, 0.817)
Bi (0.179, 0.358, 0.183)
Tm (0.116, 0.232, 0.758)
Tm (0.884, 0.768, 0.242)
Er (0.373, 0.746, 0.557)
Er (0.500, 0.000, 0.000)
Er (0.627, 0.254, 0.443)

Computed properties:
* electronic total energy: -33.36 eV per cell
* size of the total moment: 0.0000 μB/atom
* mass density: 10.04 g cm⁻³
* SG: C2/m (12)
* volume: 208.1 Å³/cell



Below is a geometry-optimized La3PrCu structure, with properties calculated at the PBE-GGA level.

Cell: 6.176 7.584 7.114 Å, 90.00 90.00 104.09°
Fractional coordinates of all 10 atoms:
La (0.018, 0.728, 0.494)
La (0.412, 0.090, 0.750)
La (0.018, 0.728, 0.006)
La (0.982, 0.272, 0.994)
La (0.588, 0.910, 0.250)
La (0.982, 0.272, 0.506)
Pr (0.480, 0.588, 0.750)
Pr (0.520, 0.412, 0.250)
Cu (0.182, 0.049, 0.250)
Cu (0.818, 0.951, 0.750)

Computed properties:
* E above lowest polymorph: 0.055 eV per atom
* size of the total moment: 0.0000 μB/atom
* mass density: 6.38 g cm⁻³
* SG: P2_1/m (11)
* volume: 323.2 Å³/cell



Below is a geometry-optimized SmCd6Ag2 structure, with properties calculated at the PBE-GGA level.

Cell: 3.152 8.727 8.727 Å, 59.28 80.49 80.49°
Fractional coordinates of all 9 atoms:
Cd (0.673, 0.000, 0.650)
Cd (0.327, 0.350, 0.000)
Cd (0.500, 0.666, 0.334)
Cd (0.673, 0.650, 0.000)
Cd (0.327, 0.000, 0.350)
Cd (0.500, 0.334, 0.666)
Ag (0.136, 0.352, 0.352)
Ag (0.864, 0.648, 0.648)
Sm (0.000, 0.000, 0.000)

Computed properties:
* E above lowest polymorph: 0.036 eV per atom
* size of the total moment: 0.0000 μB/atom
* mass density: 8.53 g cm⁻³
* SG: C2/m (12)
* volume: 202.6 Å³/cell



Below is a geometry-optimized PuTl3Te6Pb2 structure, with properties calculated at the PBE-GGA level.

Cell: 7.979 7.979 8.279 Å, 99.23 99.23 119.73°
Last column: magnetic moment on the atom in μB.
Fractional coordinates of all 12 atoms:
Pu (0.000, 0.000, 0.000)  4.84
Te (0.385, 0.073, 0.221)  -0.14
Te (0.765, 0.765, 0.229)  -0.13
Te (0.235, 0.235, 0.771)  -0.13
Te (0.073, 0.385, 0.221)  -0.14
Te (0.927, 0.615, 0.779)  -0.14
Te (0.615, 0.927, 0.779)  -0.14
Tl (0.500, 0.500, 0.500)  -0.03
Tl (0.829, 0.171, 0.500)  -0.03
Tl (0.171, 0.829, 0.500)  -0.03
Pb (0.335, 0.665, 0.000)  -0.02
Pb (0.665, 0.335, 0.000)  -0.02

Computed properties:
* ΔE_f (raw): -0.46 eV/atom
* size of the total moment: 0.2765 μB/atom
* mass density: 7.80 g cm⁻³
* SG: C2/m (12)
* volume: 433.7 Å³/cell



Below is a geometry-optimized NaSc2Tl structure, with properties calculated at the PBE-GGA level.

Cell: 5.116 5.116 5.116 Å, 60.00 60.00 60.00°
Last column: magnetic moment on the atom in μB.
Fractional coordinates of all 4 atoms:
Na (0.000, 0.000, 0.000)  0.00
Tl (0.500, 0.500, 0.500)  -0.01
Sc (0.750, 0.750, 0.750)  0.20
Sc (0.250, 0.250, 0.250)  0.20

Computed properties:
* E above lowest polymorph: 0.000 eV per atom
* size of the total moment: 0.1488 μB/atom
* mass density: 5.57 g cm⁻³
* SG: Fm-3m (225)
* volume: 94.7 Å³/cell